Below is a relaxed structure of Tb12Dy5Er2, with properties calculated at the PBE level.

Summary:
As for the calculated formation energy: 2.0 kcal/mol of atoms. The calculation puts the density of states at the Fermi level at 26.2 states/eV/f.u. Its size of the total moment is 0.00 μB/cell.

Unit cell a=6.472 b=8.832 c=11.419 alpha=109.76 beta=92.82 gamma=97.77
Positions (direct):
Tb: 0.013 0.390 0.218
Tb: 0.027 0.198 0.637
Tb: 0.206 0.171 0.359
Tb: 0.308 0.011 0.801
Tb: 0.444 0.657 0.268
Tb: 0.469 0.260 0.130
Tb: 0.531 0.740 0.870
Tb: 0.556 0.343 0.732
Tb: 0.692 0.989 0.199
Tb: 0.794 0.829 0.641
Tb: 0.973 0.802 0.363
Tb: 0.987 0.610 0.782
Dy: 0.163 0.872 0.076
Dy: 0.276 0.598 0.540
Dy: 0.500 0.000 0.500
Dy: 0.724 0.402 0.460
Dy: 0.837 0.128 0.924
Er: 0.236 0.445 0.961
Er: 0.764 0.555 0.039

Below is a relaxed structure of Tb8Dy2Er3, with properties calculated at the PBE level.

Summary:
As for the calculated formation energy: 5.3 kcal/mol of atoms. The calculation puts the density of states at the Fermi level at 20.9 states/eV/f.u. Its size of the total moment is 0.00 μB/cell.

Unit cell a=7.588 b=5.580 c=10.763 alpha=90.00 beta=110.63 gamma=90.00
Positions (direct):
Tb: 0.103 0.000 0.286
Tb: 0.167 0.500 0.835
Tb: 0.317 0.000 0.714
Tb: 0.368 0.500 0.236
Tb: 0.632 0.500 0.764
Tb: 0.683 0.000 0.286
Tb: 0.833 0.500 0.165
Tb: 0.897 0.000 0.714
Dy: 0.259 0.000 0.018
Dy: 0.741 0.000 0.982
Er: 0.215 0.500 0.500
Er: 0.500 0.000 0.500
Er: 0.785 0.500 0.500

Below is a relaxed structure of TbDy3Er5, with properties calculated at the PBE level.

Summary:
As for the calculated formation energy: 3.1 kcal/mol of atoms. The calculation puts the density of states at the Fermi level at 11.8 states/eV/f.u. Its size of the total moment is 0.00 μB/cell.

Unit cell a=10.398 b=10.398 c=10.398 alpha=139.82 beta=67.88 gamma=127.76
Positions (direct):
Tb: 0.300 0.050 0.250
Tb: 0.700 0.950 0.750
Dy: 0.000 0.000 0.500
Dy: 0.000 0.500 0.000
Dy: 0.187 0.749 0.438
Dy: 0.190 0.251 0.938
Dy: 0.810 0.749 0.062
Dy: 0.813 0.251 0.562
Er: 0.157 0.317 0.336
Er: 0.157 0.821 0.840
Er: 0.342 0.592 0.750
Er: 0.481 0.317 0.660
Er: 0.481 0.821 0.164
Er: 0.519 0.179 0.836
Er: 0.519 0.683 0.340
Er: 0.658 0.408 0.250
Er: 0.843 0.179 0.160
Er: 0.843 0.683 0.664

Below is a relaxed structure of Tb6Dy4Er19, with properties calculated at the PBE level.

Summary:
As for the calculated formation energy: 8.9 kcal/mol of atoms. The calculation puts the density of states at the Fermi level at 43.0 states/eV/f.u. Its size of the total moment is 0.01 μB/cell.

Unit cell a=10.703 b=10.703 c=10.703 alpha=109.47 beta=109.47 gamma=109.47
Positions (direct):
Tb: 0.128 0.628 0.500
Tb: 0.372 0.500 0.872
Tb: 0.500 0.128 0.628
Tb: 0.500 0.872 0.372
Tb: 0.628 0.500 0.128
Tb: 0.872 0.372 0.500
Dy: 0.000 0.000 0.642
Dy: 0.000 0.642 0.000
Dy: 0.358 0.358 0.358
Dy: 0.642 0.000 0.000
Er: 0.000 0.000 0.000
Er: 0.000 0.260 0.260
Er: 0.000 0.740 0.740
Er: 0.016 0.803 0.340
Er: 0.197 0.213 0.538
Er: 0.213 0.538 0.197
Er: 0.260 0.000 0.260
Er: 0.260 0.260 0.000
Er: 0.324 0.787 0.984
Er: 0.340 0.016 0.803
Er: 0.462 0.676 0.660
Er: 0.538 0.197 0.213
Er: 0.660 0.462 0.676
Er: 0.676 0.660 0.462
Er: 0.740 0.000 0.740
Er: 0.740 0.740 0.000
Er: 0.787 0.984 0.324
Er: 0.803 0.340 0.016
Er: 0.984 0.324 0.787

Below is a relaxed structure of Tb4Dy2Er, with properties calculated at the PBE level.

Summary:
As for the calculated formation energy: 3.1 kcal/mol of atoms. The calculation puts the density of states at the Fermi level at 11.7 states/eV/f.u. Its size of the total moment is 0.00 μB/cell.

Unit cell a=6.099 b=6.529 c=11.473 alpha=90.00 beta=104.67 gamma=90.00
Positions (direct):
Tb: 0.032 0.250 0.361
Tb: 0.150 0.250 0.947
Tb: 0.347 0.507 0.213
Tb: 0.347 0.993 0.213
Tb: 0.653 0.007 0.787
Tb: 0.653 0.493 0.787
Tb: 0.850 0.750 0.053
Tb: 0.968 0.750 0.639
Dy: 0.287 0.750 0.924
Dy: 0.394 0.750 0.505
Dy: 0.606 0.250 0.495
Dy: 0.713 0.250 0.076
Er: 0.153 0.250 0.662
Er: 0.847 0.750 0.338

Below is a relaxed structure of Tb6DyEr6, with properties calculated at the PBE level.

Summary:
As for the calculated formation energy: 6.5 kcal/mol of atoms. The calculation puts the density of states at the Fermi level at 23.9 states/eV/f.u. Its size of the total moment is 3.48 μB/cell.

Unit cell a=6.616 b=6.616 c=11.270 alpha=90.00 beta=90.00 gamma=120.00
Positions (direct):
Tb: 0.000 0.000 0.156
Tb: 0.000 0.000 0.844
Tb: 0.333 0.667 0.000
Tb: 0.333 0.667 0.500
Tb: 0.667 0.333 0.000
Tb: 0.667 0.333 0.500
Dy: 0.000 0.000 0.500
Er: 0.000 0.500 0.256
Er: 0.000 0.500 0.744
Er: 0.500 0.000 0.256
Er: 0.500 0.000 0.744
Er: 0.500 0.500 0.256
Er: 0.500 0.500 0.744

Below is a relaxed structure of TbDy6Er5, with properties calculated at the PBE level.

Summary:
As for the calculated formation energy: 0.4 kcal/mol of atoms. The calculation puts the density of states at the Fermi level at 15.8 states/eV/f.u. Its size of the total moment is 0.00 μB/cell.

Unit cell a=6.094 b=6.094 c=11.659 alpha=94.98 beta=94.98 gamma=119.95
Positions (direct):
Tb: 0.000 0.000 0.000
Dy: 0.083 0.417 0.251
Dy: 0.251 0.251 0.750
Dy: 0.417 0.083 0.251
Dy: 0.583 0.917 0.749
Dy: 0.749 0.749 0.250
Dy: 0.917 0.583 0.749
Er: 0.167 0.833 0.500
Er: 0.333 0.667 0.000
Er: 0.500 0.500 0.500
Er: 0.667 0.333 0.000
Er: 0.833 0.167 0.500

Below is a relaxed structure of Tb19Dy4Er6, with properties calculated at the PBE level.

Summary:
As for the calculated formation energy: 9.0 kcal/mol of atoms. The calculation puts the density of states at the Fermi level at 43.9 states/eV/f.u. Its size of the total moment is 0.01 μB/cell.

Unit cell a=10.747 b=10.747 c=10.747 alpha=109.47 beta=109.47 gamma=109.47
Positions (direct):
Tb: 0.000 0.000 0.000
Tb: 0.000 0.262 0.262
Tb: 0.000 0.738 0.738
Tb: 0.015 0.216 0.674
Tb: 0.201 0.985 0.659
Tb: 0.216 0.674 0.015
Tb: 0.262 0.000 0.262
Tb: 0.262 0.262 0.000
Tb: 0.326 0.541 0.341
Tb: 0.341 0.326 0.541
Tb: 0.459 0.784 0.799
Tb: 0.541 0.341 0.326
Tb: 0.659 0.201 0.985
Tb: 0.674 0.015 0.216
Tb: 0.738 0.000 0.738
Tb: 0.738 0.738 0.000
Tb: 0.784 0.799 0.459
Tb: 0.799 0.459 0.784
Tb: 0.985 0.659 0.201
Dy: 0.000 0.000 0.358
Dy: 0.000 0.358 0.000
Dy: 0.358 0.000 0.000
Dy: 0.642 0.642 0.642
Er: 0.126 0.500 0.626
Er: 0.374 0.874 0.500
Er: 0.500 0.374 0.874
Er: 0.500 0.626 0.126
Er: 0.626 0.126 0.500
Er: 0.874 0.500 0.374